This record from Alexandria via LeMat-Bulk describes a geometry-optimized MnTe2RuN structure. The functional is GGA-PBE.

Calculated values
Size of the total moment, μB/f.u.: 4.393
Space-group type: P4/mmm (123)
Offset from the most stable computed form, kcal/mol of atoms: 0.000
Uncorrected formation energy, eV/atom: 0.422
E_tot, eV/atom: -6.189

Cell lengths 5.4621, 5.4621, 3.6452 Å; angles 90.00, 90.00, 90.00 degrees
Element x y z (fractional)
Ru (0.0000, 0.0000, 0.0000)
Te (0.0000, 0.5000, 0.0000)
Te (0.5000, 0.0000, 0.0000)
Mn (0.5000, 0.5000, 0.5000)
N (0.0000, 0.0000, 0.5000)

This record from Alexandria via LeMat-Bulk describes a geometry-optimized MnTe2RuN structure. The functional is GGA-PBE.

Calculated values
Size of the total moment, μB/f.u.: 0.652
Space-group type: P4/mmm (123)
Offset from the most stable computed form, kcal/mol of atoms: 2.146
Uncorrected formation energy, eV/atom: 0.515
E_tot, eV/atom: -6.096

Cell lengths 5.1356, 5.1356, 3.4029 Å; angles 90.00, 90.00, 90.00 degrees
Element x y z (fractional)
Ru (0.5000, 0.5000, 0.5000)
Te (0.0000, 0.5000, 0.0000)
Te (0.5000, 0.0000, 0.0000)
Mn (0.0000, 0.0000, 0.0000)
N (0.0000, 0.0000, 0.5000)

This record from Alexandria via LeMat-Bulk describes a geometry-optimized MnRuW2N structure. The functional is GGA-PBE.

Calculated values
Size of the total moment, μB/f.u.: 0.000
Space-group type: P4/mmm (123)
Uncorrected formation energy, eV/atom: -0.045
E_tot, eV/atom: -10.580

Cell lengths 4.0936, 4.0936, 3.8031 Å; angles 90.00, 90.00, 90.00 degrees
Element x y z (fractional)
Ru (0.5000, 0.5000, 0.5000)
Mn (0.0000, 0.0000, 0.5000)
W (0.0000, 0.5000, 0.0000)
W (0.5000, 0.0000, 0.0000)
N (0.0000, 0.0000, 0.0000)

Copy entry 1 word for word.
This record from Alexandria via LeMat-Bulk describes a geometry-optimized MnTe2RuN structure. The functional is GGA-PBE.

Calculated values
Size of the total moment, μB/f.u.: 4.393
Space-group type: P4/mmm (123)
Offset from the most stable computed form, kcal/mol of atoms: 0.000
Uncorrected formation energy, eV/atom: 0.422
E_tot, eV/atom: -6.189

Cell lengths 5.4621, 5.4621, 3.6452 Å; angles 90.00, 90.00, 90.00 degrees
Element x y z (fractional)
Ru (0.0000, 0.0000, 0.0000)
Te (0.0000, 0.5000, 0.0000)
Te (0.5000, 0.0000, 0.0000)
Mn (0.5000, 0.5000, 0.5000)
N (0.0000, 0.0000, 0.5000)

- Which of these has the highest size of the total moment?
  number 1

Copy entry 3 word for word.
This record from Alexandria via LeMat-Bulk describes a geometry-optimized MnRuW2N structure. The functional is GGA-PBE.

Calculated values
Size of the total moment, μB/f.u.: 0.000
Space-group type: P4/mmm (123)
Uncorrected formation energy, eV/atom: -0.045
E_tot, eV/atom: -10.580

Cell lengths 4.0936, 4.0936, 3.8031 Å; angles 90.00, 90.00, 90.00 degrees
Element x y z (fractional)
Ru (0.5000, 0.5000, 0.5000)
Mn (0.0000, 0.0000, 0.5000)
W (0.0000, 0.5000, 0.0000)
W (0.5000, 0.0000, 0.0000)
N (0.0000, 0.0000, 0.0000)